Entry from the Alexandria database: an optimized crystal structure of K2CrAs (GGA-PBE).

The structure in extended XYZ format:
```
4
Lattice="3.801 -2.192 0.000 3.801 2.192 0.000 -2.352 0.000 9.297" Properties=species:S:1:pos:R:3 pbc="T T T"
K 0.000 0.000 0.000
K 0.000 0.000 4.953
Cr 5.064 0.000 2.477
As 2.531 0.000 2.475
```

## Properties
Space-group type: No. 8
E_form in eV/f.u.: -0.2
V in A^3/atom: 38.73